No. 1
## CsTl12Au6 (PBE)

Data for a geometry-optimized CsTl12Au6 structure.

a b c (Å): 8.725 8.725 8.725
angles (deg): 106.14 106.14 106.14
Fractional positions:
Tl 0.572 0.572 0.829
Tl 0.428 0.428 0.171
Cs 0.000 0.000 0.000
Tl 0.829 0.572 0.572
Au 0.739 0.270 0.739
Tl 0.882 0.500 0.118
Tl 0.118 0.882 0.500
Tl 0.500 0.118 0.882
Tl 0.118 0.500 0.882
Tl 0.428 0.171 0.428
Tl 0.500 0.882 0.118
Tl 0.882 0.118 0.500
Au 0.261 0.730 0.261
Au 0.261 0.261 0.730
Tl 0.572 0.829 0.572
Au 0.730 0.261 0.261
Au 0.270 0.739 0.739
Au 0.739 0.739 0.270
Tl 0.171 0.428 0.428

No. 2
## Sc5Ga3 (PBE)

Data for a geometry-optimized Sc5Ga3 structure.

a b c (Å): 5.386 8.234 8.234
angles (deg): 83.86 70.91 70.91
Fractional positions:
Sc 0.717 0.865 0.700
Sc 0.917 0.865 0.300
Ga 0.839 0.500 0.822
Sc 0.583 0.700 0.135
Sc 0.750 0.500 0.500
Sc 0.783 0.300 0.135
Sc 0.250 0.500 0.500
Sc 0.217 0.700 0.865
Ga 0.250 0.000 0.000
Ga 0.161 0.500 0.178
Sc 0.083 0.135 0.700
Ga 0.750 0.000 0.000
Sc 0.417 0.300 0.865
Ga 0.339 0.822 0.500
Ga 0.661 0.178 0.500
Sc 0.283 0.135 0.300

Number 1: total magnetization 0.0 μB/cell, DOS at the Fermi energy 8.286 states/eV/f.u., formation energy from the elements -120 kJ/mol of formula units. Number 2: total magnetization 0.0 μB/cell, DOS at the Fermi energy 6.254 states/eV/f.u., formation energy from the elements -411 kJ/mol of formula units.